# 1
# PaFeCo2P2, relaxed, DFT GGA-PBE
data_PaFeCo2P2
_cell_length_a 4.322
_cell_length_b 4.322
_cell_length_c 4.754
_cell_angle_alpha 90.00
_cell_angle_beta 90.00
_cell_angle_gamma 90.00
_space_group_name_H-M_alt 'P 4/m m m'
_space_group_IT_number 123
_space_group_name_Hall '-P 4 2'
loop_
_atom_site_label
_atom_site_type_symbol
_atom_site_fract_x
_atom_site_fract_y
_atom_site_fract_z
_atom_site_occupancy
Pa1 Pa 0.000 0.000 0.000 1
Fe1 Fe 0.000 0.000 0.500 1
Co1 Co 0.500 0.500 0.246 1
P1 P 0.000 0.500 0.500 1
# Raw total energy: -0.5407 Ry/atom
# Size of the total moment: 1.0 μB per formula unit
# ΔH_f (0 K): -0.19 eV/atom

# 2
# MgFeSb2, relaxed, DFT GGA-PBE
data_MgFeSb2
_cell_length_a 3.229
_cell_length_b 3.229
_cell_length_c 7.851
_cell_angle_alpha 90.00
_cell_angle_beta 90.00
_cell_angle_gamma 90.00
_space_group_name_H-M_alt 'P 4/m m m'
_space_group_IT_number 123
_space_group_name_Hall '-P 4 2'
loop_
_atom_site_label
_atom_site_type_symbol
_atom_site_fract_x
_atom_site_fract_y
_atom_site_fract_z
_atom_site_occupancy
Mg1 Mg 0.000 0.000 0.000 1
Fe1 Fe 0.000 0.000 0.500 1
Sb1 Sb 0.500 0.500 0.296 1
# Raw total energy: -0.3285 Ry/atom
# Raw formation energy: 10 kJ per mole of atoms
# Size of the total moment: 1.3 μB per formula unit
# Offset from the most stable computed form: 0.26 eV per formula unit

# 3
# Tb3Ho12Mg, relaxed, DFT GGA-PBE
data_Tb3Ho12Mg
_cell_length_a 4.968
_cell_length_b 4.968
_cell_length_c 19.930
_cell_angle_alpha 90.00
_cell_angle_beta 90.00
_cell_angle_gamma 90.00
_space_group_name_H-M_alt 'P 4/m m m'
_space_group_IT_number 123
_space_group_name_Hall '-P 4 2'
loop_
_atom_site_label
_atom_site_type_symbol
_atom_site_fract_x
_atom_site_fract_y
_atom_site_fract_z
_atom_site_occupancy
Tb1 Tb 0.000 0.000 0.000 1
Tb2 Tb 0.000 0.000 0.252 1
Ho1 Ho 0.000 0.500 0.126 1
Ho2 Ho 0.000 0.500 0.377 1
Ho3 Ho 0.500 0.500 0.000 1
Ho4 Ho 0.500 0.500 0.254 1
Ho5 Ho 0.500 0.500 0.500 1
Mg1 Mg 0.000 0.000 0.500 1
# Raw total energy: -0.3220 Ry/atom
# Size of the total moment: 0.0 μB per formula unit
# ΔH_f (0 K): 0.02 eV/atom

# 4
# InCo2Se, relaxed, DFT GGA-PBE
data_InCo2Se
_cell_length_a 6.381
_cell_length_b 6.381
_cell_length_c 6.381
_cell_angle_alpha 90.00
_cell_angle_beta 90.00
_cell_angle_gamma 90.00
_space_group_name_H-M_alt 'F -4 3 m'
_space_group_IT_number 216
_space_group_name_Hall 'F -4 2 3'
loop_
_atom_site_label
_atom_site_type_symbol
_atom_site_fract_x
_atom_site_fract_y
_atom_site_fract_z
_atom_site_occupancy
In1 In 0.000 0.000 0.000 1
Co1 Co 0.000 0.000 0.500 1
Co2 Co 0.250 0.250 0.250 1
Se1 Se 0.250 0.250 0.750 1
# Raw total energy: -0.3335 Ry/atom
# Raw formation energy: 55 kJ per mole of atoms
# Size of the total moment: 3.0 μB per formula unit
# Offset from the most stable computed form: 1.91 eV per formula unit